[1]
A relaxed Sm2ErRu crystal, computed with PBE.

Output
Symmetry = No. 166
M_tot = 0.0 Bohr magnetons per cell
Total energy = -22.554 eV/cell
Theoretical density = 8.1 g/cm³
DOS(E_F) = 1.51 states/eV/atom
Formation energy from the elements = 0.181 eV per atom

```
4
Lattice="3.551 0.000 0.000 1.776 3.075 0.000 1.776 1.025 10.665" Properties=species:S:1:pos:R:3 pbc="T T T"
Ru 3.551 2.050 5.332
Sm 1.776 1.025 7.266
Sm 5.327 3.075 3.399
Er 0.000 0.000 0.000
```

=====

[2]
A relaxed LiLaHo crystal, computed with PBE.

Output
Symmetry = No. 107
M_tot = 0.0 Bohr magnetons per cell
Total energy = -11.157 eV/cell
Theoretical density = 5.9 g/cm³
DOS(E_F) = 1.19 states/eV/atom
Formation energy from the elements = 0.087 eV per atom

```
3
Lattice="3.770 0.000 0.000 0.000 3.770 0.000 -1.885 -1.885 6.193" Properties=species:S:1:pos:R:3 pbc="T T T"
Li 1.885 1.885 2.156
Ho 0.000 0.000 3.900
La 0.000 0.000 0.138
```

=====

[3]
A relaxed PbCSeN2 crystal, computed with PBE.

Output
Symmetry = No. 123
M_tot = 2.3 Bohr magnetons per cell
Total energy = -18.256 eV/cell
Theoretical density = 4.3 g/cm³
DOS(E_F) = 0.30 states/eV/atom
E_form (uncorrected) = 2.9622 eV per atom

```
5
Lattice="-0.265 -4.595 -0.281 4.566 -0.226 -0.602 0.751 -0.402 5.849" Properties=species:S:1:pos:R:3 pbc="T T T"
Pb 0.000 0.000 0.000
C 2.526 -2.611 2.483
Se 0.375 -0.201 2.925
N 2.283 -0.113 -0.301
N -0.132 -2.298 -0.141
```

=====

[4]
A relaxed BaTl2Re crystal, computed with PBE.

Output
Symmetry = No. 119
M_tot = 2.3 Bohr magnetons per cell
Total energy = -15.310 eV/cell
Theoretical density = 10.7 g/cm³
DOS(E_F) = 1.04 states/eV/atom
Formation energy from the elements = 0.948 eV per atom

```
4
Lattice="-4.071 4.125 1.345 -4.629 -2.558 2.726 5.859 -0.283 0.997" Properties=species:S:1:pos:R:3 pbc="T T T"
Re -1.281 2.313 2.189
Tl 0.000 0.000 0.000
Tl -1.560 -1.029 2.879
Ba -4.350 0.784 2.036
```

=====

M_tot of number 4 (BaTl2Re)?
2.3 Bohr magnetons per cell

=====

Which of these has the highest DOS(E_F)?
Sm2ErRu

=====

Which of these has the lowest DOS(E_F)?
PbCSeN2

=====

Repeat the first record exactly.
A relaxed Sm2ErRu crystal, computed with PBE.

Output
Symmetry = No. 166
M_tot = 0.0 Bohr magnetons per cell
Total energy = -22.554 eV/cell
Theoretical density = 8.1 g/cm³
DOS(E_F) = 1.51 states/eV/atom
Formation energy from the elements = 0.181 eV per atom

```
4
Lattice="3.551 0.000 0.000 1.776 3.075 0.000 1.776 1.025 10.665" Properties=species:S:1:pos:R:3 pbc="T T T"
Ru 3.551 2.050 5.332
Sm 1.776 1.025 7.266
Sm 5.327 3.075 3.399
Er 0.000 0.000 0.000
```